Entry 1:
Density functional theory data (GGA-PBE) for a relaxed LiLaPu2Au4 crystal.

Results
Crystal system = trigonal
SG = R-3m (166)
Volume = 189.8 Å³/cell
Electronic total energy = -6.544 eV/atom
Total magnetization = 1.465 μB/atom
DFT formation energy = -468 meV per atom

Cell lengths 8.8896, 8.8896, 8.8896 Å; angles 33.42, 33.42, 33.42 degrees
Atoms (fractional coordinates):
Li 0.0000 0.0000 0.0000
La 0.5000 0.5000 0.5000
Pu 0.2558 0.2558 0.2558
Pu 0.7442 0.7442 0.7442
Au 0.1179 0.1179 0.1179
Au 0.3754 0.3754 0.3754
Au 0.6246 0.6246 0.6246
Au 0.8821 0.8821 0.8821

=====

Entry 2:
Density functional theory data (GGA-PBE) for a relaxed ScCoRu2 crystal.

Results
Crystal system = tetragonal
SG = P4/mmm (123)
Volume = 57.5 Å³/cell
Energy above the lowest structure with this stoichiometry = 0.022 eV/atom
Electronic total energy = -8.042 eV/atom
Total magnetization = 0.220 μB/atom
DFT formation energy = -44 meV per atom

Cell lengths 3.8559, 3.8559, 3.8652 Å; angles 90.00, 90.00, 90.00 degrees
Atoms (fractional coordinates):
Sc 0.0000 0.0000 0.0000
Co 0.5000 0.5000 0.0000
Ru 0.0000 0.5000 0.5000
Ru 0.5000 0.0000 0.5000

=====

Entry 3:
Density functional theory data (GGA-PBE) for a relaxed Nd2Zn5CdRu2 crystal.

Results
Crystal system = tetragonal
SG = P4/mbm (127)
Volume = 387.2 Å³/cell
Electronic total energy = -3.674 eV/atom
Total magnetization = 0.000 μB/atom
DFT formation energy = -137 meV per atom

Cell lengths 9.7351, 9.7351, 4.0851 Å; angles 90.00, 90.00, 90.00 degrees
Atoms (fractional coordinates):
Nd 0.1811 0.3189 0.0000
Nd 0.3189 0.8189 0.0000
Nd 0.6811 0.1811 0.0000
Nd 0.8189 0.6811 0.0000
Zn 0.0000 0.5000 0.5000
Zn 0.0589 0.7855 0.5000
Zn 0.2145 0.0589 0.5000
Zn 0.2855 0.5589 0.5000
Zn 0.4411 0.2855 0.5000
Zn 0.5000 0.0000 0.5000
Zn 0.5589 0.7145 0.5000
Zn 0.7145 0.4411 0.5000
Zn 0.7855 0.9411 0.5000
Zn 0.9411 0.2145 0.5000
Cd 0.0000 0.0000 0.0000
Cd 0.5000 0.5000 0.0000
Ru 0.1176 0.6176 0.0000
Ru 0.3824 0.1176 0.0000
Ru 0.6176 0.8824 0.0000
Ru 0.8824 0.3824 0.0000

=====

Entry 4:
Density functional theory data (GGA-PBE) for a relaxed Sn2Rh crystal.

Results
Crystal system = monoclinic
SG = C2/m (12)
Volume = 65.1 Å³/cell
Electronic total energy = -5.409 eV/atom
Total magnetization = 0.000 μB/atom
DFT formation energy = -290 meV per atom

Cell lengths 3.2620, 3.2620, 6.1160 Å; angles 90.10, 90.10, 90.00 degrees
Atoms (fractional coordinates):
Sn 0.0013 0.0013 0.2629
Sn 0.9987 0.9987 0.7371
Rh 0.5000 0.5000 0.0000

=====

Entry 5:
Density functional theory data (GGA-PBE) for a relaxed SrIn2Si crystal.

Results
ΔE_f (raw) = -140.8 meV/atom
Crystal system = orthorhombic
SG = Cmmm (65)
Volume = 117.9 Å³/cell
Electronic total energy = -3.286 eV/atom
Total magnetization = 0.000 μB/atom

Cell lengths 5.2391, 5.2391, 4.4809 Å; angles 90.00, 90.00, 106.55 degrees
Atoms (fractional coordinates):
Sr 0.0000 0.0000 0.0000
In 0.3086 0.6914 0.5000
In 0.6914 0.3086 0.5000
Si 0.5000 0.5000 0.0000

=====

Entry 6:
Density functional theory data (GGA-PBE) for a relaxed Cs12K7Mg crystal.

Results
Crystal system = trigonal
SG = R-3 (148)
Volume = 1860.4 Å³/cell
Electronic total energy = -0.934 eV/atom
Total magnetization = 0.000 μB/atom
DFT formation energy = 41 meV per atom

Cell lengths 12.9676, 12.9676, 12.9676 Å; angles 106.07, 106.07, 106.07 degrees
Atoms (fractional coordinates):
Cs 0.0678 0.2867 0.7890
Cs 0.1479 0.4240 0.2229
Cs 0.2110 0.9322 0.7133
Cs 0.2229 0.1479 0.4240
Cs 0.2867 0.7890 0.0678
Cs 0.4240 0.2229 0.1479
Cs 0.5760 0.7771 0.8521
Cs 0.7133 0.2110 0.9322
Cs 0.7771 0.8521 0.5760
Cs 0.7890 0.0678 0.2867
Cs 0.8521 0.5760 0.7771
Cs 0.9322 0.7133 0.2110
K 0.0000 0.0000 0.0000
K 0.1953 0.5310 0.6024
K 0.3976 0.8047 0.4690
K 0.4690 0.3976 0.8047
K 0.5310 0.6024 0.1953
K 0.6024 0.1953 0.5310
K 0.8047 0.4690 0.3976
Mg 0.5000 0.5000 0.5000

=====

Entry 7:
Density functional theory data (GGA-PBE) for a relaxed Sm2Y2Bi2C crystal.

Results
Crystal system = tetragonal
SG = I4/mmm (139)
Volume = 193.8 Å³/cell
Electronic total energy = -6.311 eV/atom
Total magnetization = 0.000 μB/atom
DFT formation energy = -689 meV per atom

Cell lengths 8.8826, 8.8826, 8.8826 Å; angles 148.22, 148.22, 45.56 degrees
Atoms (fractional coordinates):
Sm 0.1562 0.1562 0.0000
Sm 0.8438 0.8438 0.0000
Y 0.0000 0.5000 0.5000
Y 0.5000 0.0000 0.5000
Bi 0.3584 0.3584 0.0000
Bi 0.6416 0.6416 0.0000
C 0.0000 0.0000 0.0000

=====

Entry 8:
Density functional theory data (GGA-PBE) for a relaxed NiW3I crystal.

Results
ΔE_f (raw) = 1934.5 meV/atom
Crystal system = cubic
SG = Pm-3m (221)
Volume = 97.0 Å³/cell
Energy above the lowest structure with this stoichiometry = 0.000 eV/atom
Electronic total energy = -7.304 eV/atom
Total magnetization = 0.000 μB/atom

Cell lengths 4.5945, 4.5945, 4.5945 Å; angles 90.00, 90.00, 90.00 degrees
Atoms (fractional coordinates):
Ni 0.0000 0.0000 0.0000
W 0.0000 0.0000 0.5000
W 0.0000 0.5000 0.0000
W 0.5000 0.0000 0.0000
I 0.5000 0.5000 0.5000